1.
Compound: BeAgP3
Source: Alexandria via LeMat-Bulk
Functional: PBE-GGA
Structure: optimized geometry

Lattice parameters (Å, degrees): 4.313 4.313 4.313 90.00 90.00 90.00
Element x y z (fractional)
P (0.500, 0.000, 0.000)
P (0.000, 0.500, 0.000)
P (0.000, 0.000, 0.500)
Ag (0.500, 0.500, 0.500)
Be (0.000, 0.000, 0.000)

Values from the calculation:
- energy of formation (eV/atom) = 0.72
- density of states at the Fermi level (states/eV/f.u.) = 3.11

=====

2.
Compound: BeAg2P
Source: Alexandria via LeMat-Bulk
Functional: PBE-GGA
Structure: optimized geometry

Lattice parameters (Å, degrees): 4.437 4.437 4.437 60.00 60.00 60.00
Element x y z (fractional)
Ag (0.750, 0.750, 0.750)
Ag (0.250, 0.250, 0.250)
P (0.500, 0.500, 0.500)
Be (0.000, 0.000, 0.000)

Values from the calculation:
- energy of formation (eV/atom) = 0.48
- density of states at the Fermi level (states/eV/f.u.) = 3.13